Version a
A geometry-optimized LiSbPd3 structure. Source: Alexandria, functional PBE.

Results
Its symmetry is Pm-3m (221). For the density of states at the Fermi level, the calculation gives 2.4 states/eV/cell.

Unit cell a=4.3506 b=4.3506 c=4.3506 alpha=90.00 beta=90.00 gamma=90.00
Fractional coordinates of all 5 atoms:
Li: 0.0000 0.0000 0.0000
Sb: 0.5000 0.5000 0.5000
Pd: 0.0000 0.0000 0.5000
Pd: 0.0000 0.5000 0.0000
Pd: 0.5000 0.0000 0.0000

***

Version b
A geometry-optimized LiSbPd3 structure. Source: Alexandria, functional PBE.

Results
Its symmetry is P-1 (2). For the density of states at the Fermi level, the calculation gives 3.4 states/eV/cell.

Unit cell a=4.5438 b=4.5493 c=8.0336 alpha=89.06 beta=73.59 gamma=86.53
Fractional coordinates of all 10 atoms:
Li: 0.1439 0.2502 0.2086
Li: 0.8561 0.7498 0.7914
Sb: 0.3520 0.2512 0.7921
Sb: 0.6480 0.7488 0.2079
Pd: 0.0590 0.7504 0.3862
Pd: 0.2524 0.7504 0.9993
Pd: 0.4457 0.7498 0.6131
Pd: 0.5543 0.2502 0.3869
Pd: 0.7476 0.2496 0.0007
Pd: 0.9410 0.2496 0.6138

***

In terms of stability, version b leads; the second structure lies 54.8 kJ/mol of atoms higher.

***

Version a
A geometry-optimized Li3SbPd6 structure. Source: Alexandria, functional PBE.

Results
Its symmetry is R-3m (166). For the density of states at the Fermi level, the calculation gives 12.6 states/eV/cell.

Unit cell a=6.9825 b=6.9825 c=6.9825 alpha=99.75 beta=99.75 gamma=99.75
Fractional coordinates of all 20 atoms:
Li: 0.0720 0.3541 0.3541
Li: 0.3541 0.0720 0.3541
Li: 0.3541 0.3541 0.0720
Li: 0.6459 0.6459 0.9280
Li: 0.6459 0.9280 0.6459
Li: 0.9280 0.6459 0.6459
Sb: 0.0000 0.0000 0.0000
Sb: 0.5000 0.5000 0.5000
Pd: 0.0974 0.0974 0.6741
Pd: 0.0974 0.6741 0.0974
Pd: 0.2372 0.5000 0.7628
Pd: 0.2372 0.7628 0.5000
Pd: 0.3259 0.9026 0.9026
Pd: 0.5000 0.2372 0.7628
Pd: 0.5000 0.7628 0.2372
Pd: 0.6741 0.0974 0.0974
Pd: 0.7628 0.2372 0.5000
Pd: 0.7628 0.5000 0.2372
Pd: 0.9026 0.3259 0.9026
Pd: 0.9026 0.9026 0.3259

***

Version b
A geometry-optimized Li3SbPd6 structure. Source: Alexandria, functional PBE.

Results
Its symmetry is P2_1/m (11). For the density of states at the Fermi level, the calculation gives 9.1 states/eV/cell.

Unit cell a=7.4225 b=4.4747 c=9.7227 alpha=90.00 beta=110.45 gamma=90.00
Fractional coordinates of all 20 atoms:
Li: 0.0282 0.2500 0.4119
Li: 0.1631 0.7500 0.1731
Li: 0.2517 0.2500 0.0146
Li: 0.7483 0.7500 0.9854
Li: 0.8369 0.2500 0.8269
Li: 0.9718 0.7500 0.5881
Sb: 0.4179 0.2500 0.6343
Sb: 0.5821 0.7500 0.3657
Pd: 0.0440 0.7500 0.8911
Pd: 0.1127 0.2500 0.7279
Pd: 0.2701 0.7500 0.4708
Pd: 0.3378 0.2500 0.3161
Pd: 0.3414 0.7500 0.7815
Pd: 0.4502 0.7500 0.0763
Pd: 0.5498 0.2500 0.9237
Pd: 0.6586 0.2500 0.2185
Pd: 0.6622 0.7500 0.6839
Pd: 0.7299 0.2500 0.5292
Pd: 0.8873 0.7500 0.2721
Pd: 0.9560 0.2500 0.1089

***

In terms of stability, version b leads; the second structure lies 7.5 kJ/mol of atoms higher.

***

Version a
A geometry-optimized Li3Sb2Pd2 structure. Source: Alexandria, functional PBE.

Results
Its symmetry is P2/m (10). For the density of states at the Fermi level, the calculation gives 2.3 states/eV/cell.

Unit cell a=4.3722 b=3.0424 c=10.0087 alpha=90.00 beta=98.71 gamma=90.00
Fractional coordinates of all 7 atoms:
Li: 0.0000 0.0000 0.0000
Li: 0.2707 0.0000 0.5626
Li: 0.7293 0.0000 0.4374
Sb: 0.3593 0.5000 0.8122
Sb: 0.6407 0.5000 0.1878
Pd: 0.1786 0.0000 0.2847
Pd: 0.8214 0.0000 0.7153

***

Version b
A geometry-optimized Li3Sb2Pd2 structure. Source: Alexandria, functional PBE.

Results
Its symmetry is C2/m (12). For the density of states at the Fermi level, the calculation gives 2.3 states/eV/cell.

Unit cell a=4.5741 b=4.5741 c=7.2060 alpha=108.34 beta=108.34 gamma=59.97
Fractional coordinates of all 7 atoms:
Li: 0.0000 0.0000 0.0000
Li: 0.1395 0.1395 0.4184
Li: 0.8605 0.8605 0.5816
Sb: 0.4147 0.4147 0.2425
Sb: 0.5853 0.5853 0.7575
Pd: 0.2723 0.2723 0.8182
Pd: 0.7277 0.7277 0.1818

***

In terms of stability, version b leads; the second structure lies 26.0 kJ/mol of atoms higher.

***

Version a
A geometry-optimized LiSb2Pd3 structure. Source: Alexandria, functional PBE.

Results
Its symmetry is Immm (71). For the density of states at the Fermi level, the calculation gives 2.1 states/eV/cell.

Unit cell a=8.3261 b=8.3261 c=8.3261 alpha=158.20 beta=147.96 gamma=39.09
Fractional coordinates of all 6 atoms:
Li: 0.0000 0.0000 0.0000
Sb: 0.3582 0.3582 0.0000
Sb: 0.6418 0.6418 0.0000
Pd: 0.1810 0.1810 0.0000
Pd: 0.5000 0.0000 0.5000
Pd: 0.8190 0.8190 0.0000

***

Version b
A geometry-optimized LiSb2Pd3 structure. Source: Alexandria, functional PBE.

Results
Its symmetry is P-3m1 (164). For the density of states at the Fermi level, the calculation gives 6.8 states/eV/cell.

Unit cell a=4.5349 b=4.5349 c=11.8988 alpha=90.00 beta=90.00 gamma=120.00
Fractional coordinates of all 12 atoms:
Li: 0.3333 0.6667 0.1538
Li: 0.6667 0.3333 0.8462
Sb: 0.0000 0.0000 0.0000
Sb: 0.0000 0.0000 0.5000
Sb: 0.3333 0.6667 0.6961
Sb: 0.6667 0.3333 0.3039
Pd: 0.0000 0.0000 0.2356
Pd: 0.0000 0.0000 0.7644
Pd: 0.3333 0.6667 0.3821
Pd: 0.3333 0.6667 0.9246
Pd: 0.6667 0.3333 0.0754
Pd: 0.6667 0.3333 0.6179

***

In terms of stability, version b leads; the second structure lies 15.9 kJ/mol of atoms higher.

***

Version a
A geometry-optimized Li2SbPd5 structure. Source: Alexandria, functional PBE.

Results
Its symmetry is I4/mmm (139). For the density of states at the Fermi level, the calculation gives 3.9 states/eV/cell.

Unit cell a=5.4724 b=5.4724 c=5.4724 alpha=115.73 beta=115.73 gamma=97.56
Fractional coordinates of all 8 atoms:
Li: 0.0000 0.5000 0.5000
Li: 0.5000 0.0000 0.5000
Sb: 0.0000 0.0000 0.0000
Pd: 0.0000 0.0000 0.5000
Pd: 0.0000 0.5000 0.0000
Pd: 0.5000 0.0000 0.0000
Pd: 0.5000 0.5000 0.0000
Pd: 0.5000 0.5000 0.5000

***

Version b
A geometry-optimized Li2SbPd5 structure. Source: Alexandria, functional PBE.

Results
Its symmetry is I4/mcm (140). For the density of states at the Fermi level, the calculation gives 4.0 states/eV/cell.

Unit cell a=7.2572 b=7.2572 c=7.2572 alpha=126.06 beta=126.06 gamma=79.79
Fractional coordinates of all 16 atoms:
Li: 0.1436 0.6436 0.7871
Li: 0.3564 0.1436 0.5000
Li: 0.6436 0.8564 0.5000
Li: 0.8564 0.3564 0.2129
Sb: 0.2500 0.2500 0.0000
Sb: 0.7500 0.7500 0.0000
Pd: 0.0000 0.0000 0.0000
Pd: 0.0010 0.1956 0.5000
Pd: 0.1956 0.6956 0.1946
Pd: 0.3044 0.4990 0.5000
Pd: 0.4990 0.9990 0.1946
Pd: 0.5000 0.5000 0.0000
Pd: 0.5010 0.0010 0.8054
Pd: 0.6956 0.5010 0.5000
Pd: 0.8044 0.3044 0.8054
Pd: 0.9990 0.8044 0.5000

***

In terms of stability, version a leads; the second structure lies 9.2 kJ/mol of atoms higher.

***

Version a
A geometry-optimized LiSb2Pd8 structure. Source: Alexandria, functional PBE.

Results
Its symmetry is C2/m (12). For the density of states at the Fermi level, the calculation gives 6.4 states/eV/cell.

Unit cell a=7.0361 b=7.0361 c=4.6799 alpha=102.31 beta=102.31 gamma=117.32
Fractional coordinates of all 11 atoms:
Li: 0.0000 0.0000 0.0000
Sb: 0.3103 0.6897 0.5000
Sb: 0.6897 0.3103 0.5000
Pd: 0.0910 0.3200 0.6197
Pd: 0.2125 0.7875 0.0000
Pd: 0.3200 0.0910 0.6197
Pd: 0.3848 0.3848 0.1788
Pd: 0.6152 0.6152 0.8212
Pd: 0.6800 0.9090 0.3803
Pd: 0.7875 0.2125 0.0000
Pd: 0.9090 0.6800 0.3803

***

Version b
A geometry-optimized LiSb2Pd8 structure. Source: Alexandria, functional PBE.

Results
Its symmetry is Immm (71). For the density of states at the Fermi level, the calculation gives 3.6 states/eV/cell.

Unit cell a=7.2133 b=7.2133 c=7.2133 alpha=146.03 beta=117.91 gamma=72.70
Fractional coordinates of all 11 atoms:
Li: 0.0000 0.0000 0.0000
Sb: 0.3064 0.3064 0.0000
Sb: 0.6936 0.6936 0.0000
Pd: 0.1169 0.8420 0.2749
Pd: 0.1377 0.6377 0.5000
Pd: 0.3028 0.5000 0.8028
Pd: 0.4329 0.1580 0.2749
Pd: 0.5671 0.8420 0.7251
Pd: 0.6972 0.5000 0.1972
Pd: 0.8623 0.3623 0.5000
Pd: 0.8831 0.1580 0.7251

***

In terms of stability, version b leads; the second structure lies 10.6 kJ/mol of atoms higher.

***

Version a
A geometry-optimized LiSbPd5 structure. Source: Alexandria, functional PBE.

Results
Its symmetry is Cmcm (63). For the density of states at the Fermi level, the calculation gives 4.8 states/eV/cell.

Unit cell a=4.6297 b=4.6297 c=11.0272 alpha=90.00 beta=90.00 gamma=77.57
Fractional coordinates of all 14 atoms:
Li: 0.1197 0.8803 0.7500
Li: 0.8803 0.1197 0.2500
Sb: 0.5000 0.5000 0.0000
Sb: 0.5000 0.5000 0.5000
Pd: 0.0517 0.3588 0.6160
Pd: 0.0517 0.3588 0.8840
Pd: 0.3588 0.0517 0.1160
Pd: 0.3588 0.0517 0.3840
Pd: 0.4583 0.5417 0.2500
Pd: 0.5417 0.4583 0.7500
Pd: 0.6412 0.9483 0.6160
Pd: 0.6412 0.9483 0.8840
Pd: 0.9483 0.6412 0.1160
Pd: 0.9483 0.6412 0.3840

***

Version b
A geometry-optimized LiSbPd5 structure. Source: Alexandria, functional PBE.

Results
Its symmetry is Imm2 (44). For the density of states at the Fermi level, the calculation gives 5.4 states/eV/cell.

Unit cell a=6.2763 b=6.2763 c=6.2763 alpha=110.85 beta=90.90 gamma=128.93
Fractional coordinates of all 7 atoms:
Li: 0.0000 0.0000 0.0000
Sb: 0.7513 0.2513 0.5000
Pd: 0.2429 0.4980 0.7449
Pd: 0.2585 0.7585 0.5000
Pd: 0.5135 0.3259 0.8125
Pd: 0.5135 0.7010 0.1875
Pd: 0.7531 0.4980 0.2551

***

In terms of stability, version a leads; the second structure lies 55.5 kJ/mol of atoms higher.

***

Version a
A geometry-optimized LiSb2Pd4 structure. Source: Alexandria, functional PBE.

Results
Its symmetry is Fdd2 (43). For the density of states at the Fermi level, the calculation gives 4.9 states/eV/cell.

Unit cell a=8.2971 b=6.2198 c=7.6185 alpha=72.89 beta=45.76 gamma=61.35
Fractional coordinates of all 14 atoms:
Li: 0.0000 0.0000 0.0000
Li: 0.2500 0.2500 0.2500
Sb: 0.0772 0.5465 0.6004
Sb: 0.4742 0.6496 0.7035
Sb: 0.5465 0.0772 0.7758
Sb: 0.6496 0.4742 0.1728
Pd: 0.1246 0.4756 0.9386
Pd: 0.2318 0.8671 0.5401
Pd: 0.3114 0.7887 0.1254
Pd: 0.4756 0.1246 0.4613
Pd: 0.7099 0.8890 0.0182
Pd: 0.7887 0.3114 0.7744
Pd: 0.8671 0.2318 0.3610
Pd: 0.8890 0.7099 0.3829

***

Version b
A geometry-optimized LiSb2Pd4 structure. Source: Alexandria, functional PBE.

Results
Its symmetry is R-3m (166). For the density of states at the Fermi level, the calculation gives 2.7 states/eV/cell.

Unit cell a=7.6854 b=7.6854 c=7.6854 alpha=33.67 beta=33.67 gamma=33.67
Fractional coordinates of all 7 atoms:
Li: 0.0000 0.0000 0.0000
Sb: 0.2497 0.2497 0.2497
Sb: 0.7503 0.7503 0.7503
Pd: 0.1256 0.1256 0.1256
Pd: 0.3760 0.3760 0.3760
Pd: 0.6240 0.6240 0.6240
Pd: 0.8744 0.8744 0.8744

***

Version c
A geometry-optimized LiSb2Pd4 structure. Source: Alexandria, functional PBE.

Results
Its symmetry is I4/mmm (139). For the density of states at the Fermi level, the calculation gives 4.2 states/eV/cell.

Unit cell a=7.4778 b=7.4778 c=7.4778 alpha=146.45 beta=146.45 gamma=48.17
Fractional coordinates of all 7 atoms:
Li: 0.0000 0.0000 0.0000
Sb: 0.3666 0.3666 0.0000
Sb: 0.6334 0.6334 0.0000
Pd: 0.0000 0.5000 0.5000
Pd: 0.1763 0.1763 0.0000
Pd: 0.5000 0.0000 0.5000
Pd: 0.8237 0.8237 0.0000

***

In terms of stability, version b leads; the second structure lies 9.4 kJ/mol of atoms higher.

***

Version a
A geometry-optimized LiSbPd6 structure. Source: Alexandria, functional PBE.

Results
Its symmetry is I4/mmm (139). For the density of states at the Fermi level, the calculation gives 4.6 states/eV/cell.

Unit cell a=7.8788 b=7.8788 c=7.8788 alpha=149.71 beta=149.71 gamma=43.37
Fractional coordinates of all 8 atoms:
Li: 0.0000 0.0000 0.0000
Sb: 0.5000 0.5000 0.0000
Pd: 0.1185 0.6185 0.5000
Pd: 0.2517 0.2517 0.0000
Pd: 0.3815 0.8815 0.5000
Pd: 0.6185 0.1185 0.5000
Pd: 0.7483 0.7483 0.0000
Pd: 0.8815 0.3815 0.5000

***

Version b
A geometry-optimized LiSbPd6 structure. Source: Alexandria, functional PBE.

Results
Its symmetry is P-1 (2). For the density of states at the Fermi level, the calculation gives 4.2 states/eV/cell.

Unit cell a=5.0768 b=5.1054 c=5.1315 alpha=94.12 beta=93.43 gamma=93.71
Fractional coordinates of all 8 atoms:
Li: 0.0000 0.0000 0.0000
Sb: 0.5000 0.5000 0.5000
Pd: 0.0548 0.7502 0.4360
Pd: 0.2500 0.5654 0.9418
Pd: 0.4386 0.0544 0.7508
Pd: 0.5614 0.9456 0.2492
Pd: 0.7500 0.4346 0.0582
Pd: 0.9452 0.2498 0.5640

***

In terms of stability, version a leads; the second structure lies 11.9 kJ/mol of atoms higher.

***

Version a
A geometry-optimized Li2Sb3Pd4 structure. Source: Alexandria, functional PBE.

Results
Its symmetry is Cmce (64). For the density of states at the Fermi level, the calculation gives 7.4 states/eV/cell.

Unit cell a=8.7349 b=8.7349 c=6.9747 alpha=90.00 beta=90.00 gamma=137.58
Fractional coordinates of all 18 atoms:
Li: 0.0820 0.9180 0.8951
Li: 0.4180 0.5820 0.3951
Li: 0.5820 0.4180 0.6049
Li: 0.9180 0.0820 0.1049
Sb: 0.0000 0.0000 0.5000
Sb: 0.0067 0.4933 0.7500
Sb: 0.4933 0.0067 0.2500
Sb: 0.5000 0.5000 0.0000
Sb: 0.5067 0.9933 0.7500
Sb: 0.9933 0.5067 0.2500
Pd: 0.1657 0.8343 0.5238
Pd: 0.1739 0.3261 0.7500
Pd: 0.3261 0.1739 0.2500
Pd: 0.3343 0.6657 0.0238
Pd: 0.6657 0.3343 0.9762
Pd: 0.6739 0.8261 0.7500
Pd: 0.8261 0.6739 0.2500
Pd: 0.8343 0.1657 0.4762

***

Version b
A geometry-optimized Li2Sb3Pd4 structure. Source: Alexandria, functional PBE.

Results
Its symmetry is P-1 (2). For the density of states at the Fermi level, the calculation gives 4.5 states/eV/cell.

Unit cell a=4.5316 b=4.5601 c=9.4691 alpha=103.32 beta=90.65 gamma=118.73
Fractional coordinates of all 9 atoms:
Li: 0.1033 0.1841 0.2921
Li: 0.8967 0.8159 0.7079
Sb: 0.2849 0.6100 0.8865
Sb: 0.5000 0.0000 0.5000
Sb: 0.7151 0.3900 0.1135
Pd: 0.1950 0.3943 0.5912
Pd: 0.4066 0.7760 0.1921
Pd: 0.5934 0.2240 0.8079
Pd: 0.8050 0.6057 0.4088

***

In terms of stability, version b leads; the second structure lies 5.1 kJ/mol of atoms higher.